Entry 1:
# KMnO4, PBEsol geometry, DFT meta-GGA SCAN
# Crystal system = orthorhombic
# ρ = 2.8 g/cm³
# ΔE_f (raw) = -1597 meV/atom
data_KMnO4
_symmetry_space_group_name_H-M 'P n m a'
_symmetry_Int_Tables_number 62
_cell_length_a 9.120
_cell_length_b 5.604
_cell_length_c 7.342
_cell_angle_alpha 90.00
_cell_angle_beta 90.00
_cell_angle_gamma 90.00
loop_
_symmetry_equiv_pos_as_xyz
'x,y,z'
'-x,-y,-z'
'-x+1/2,-y,z+1/2'
'x+1/2,y,-z+1/2'
'x+1/2,-y+1/2,-z+1/2'
'-x+1/2,y+1/2,z+1/2'
'-x,y+1/2,-z'
'x,-y+1/2,z'
loop_
_atom_site_label
_atom_site_type_symbol
_atom_site_fract_x
_atom_site_fract_y
_atom_site_fract_z
_atom_site_occupancy
K1 K 0.184 0.250 0.154 1
Mn1 Mn 0.055 0.250 0.696 1
O1 O 0.080 0.016 0.819 1
O2 O 0.109 0.750 0.381 1
O3 O 0.170 0.250 0.532 1



Entry 2:
# K3MnO3, PBEsol geometry, DFT meta-GGA SCAN
# Crystal system = monoclinic
# ρ = 2.9 g/cm³
# ΔE_f (raw) = -1771 meV/atom
data_K3MnO3
_symmetry_space_group_name_H-M 'P 1 21/c 1'
_symmetry_Int_Tables_number 14
_cell_length_a 6.538
_cell_length_b 11.456
_cell_length_c 6.676
_cell_angle_alpha 90.00
_cell_angle_beta 95.63
_cell_angle_gamma 90.00
loop_
_symmetry_equiv_pos_as_xyz
'x,y,z'
'-x,-y,-z'
'-x,y+1/2,-z+1/2'
'x,-y+1/2,z+1/2'
loop_
_atom_site_label
_atom_site_type_symbol
_atom_site_fract_x
_atom_site_fract_y
_atom_site_fract_z
_atom_site_occupancy
K1 K 0.023 0.211 0.007 1
K2 K 0.155 0.509 0.856 1
K3 K 0.477 0.224 0.416 1
Mn1 Mn 0.340 0.503 0.339 1
O1 O 0.199 0.625 0.212 1
O2 O 0.220 0.120 0.696 1
O3 O 0.397 0.078 0.093 1



Entry 3:
# K3MnO4, PBEsol geometry, DFT meta-GGA SCAN
# Crystal system = tetragonal
# ρ = 2.7 g/cm³
# ΔE_f (raw) = -1888 meV/atom
data_K3MnO4
_symmetry_space_group_name_H-M 'I -4 2 m'
_symmetry_Int_Tables_number 121
_symmetry_space_group_name_Hall 'I -4 2'
_cell_length_a 6.473
_cell_length_b 6.473
_cell_length_c 6.908
_cell_angle_alpha 90.00
_cell_angle_beta 90.00
_cell_angle_gamma 90.00
loop_
_atom_site_label
_atom_site_type_symbol
_atom_site_fract_x
_atom_site_fract_y
_atom_site_fract_z
_atom_site_occupancy
K1 K 0.000 0.000 0.000 1
K2 K 0.000 0.500 0.250 1
Mn1 Mn 0.000 0.000 0.500 1
O1 O 0.152 0.152 0.641 1



Entry 4:
# KMnPO4, PBEsol geometry, DFT meta-GGA SCAN
# Crystal system = triclinic
# ρ = 3.1 g/cm³
# ΔE_f (raw) = -2398 meV/atom
data_KMnPO4
_symmetry_space_group_name_H-M 'P -1'
_symmetry_Int_Tables_number 2
_cell_length_a 6.077
_cell_length_b 7.995
_cell_length_c 8.689
_cell_angle_alpha 104.08
_cell_angle_beta 91.17
_cell_angle_gamma 96.93
loop_
_symmetry_equiv_pos_as_xyz
'x,y,z'
'-x,-y,-z'
loop_
_atom_site_label
_atom_site_type_symbol
_atom_site_fract_x
_atom_site_fract_y
_atom_site_fract_z
_atom_site_occupancy
K1 K 0.116 0.342 0.095 1
K2 K 0.211 0.725 0.468 1
Mn1 Mn 0.259 0.235 0.450 1
Mn2 Mn 0.402 0.782 0.120 1
P1 P 0.098 0.057 0.749 1
P2 P 0.390 0.539 0.745 1
O1 O 0.004 0.136 0.282 1
O2 O 0.091 0.827 0.202 1
O3 O 0.197 0.456 0.619 1
O4 O 0.205 0.081 0.594 1
O5 O 0.285 0.103 0.883 1
O6 O 0.299 0.610 0.910 1
O7 O 0.453 0.597 0.244 1
O8 O 0.476 0.309 0.309 1



Entry 5:
# K4Ti3MnP6O24, PBEsol geometry, DFT meta-GGA SCAN
# Crystal system = monoclinic
# ρ = 3.2 g/cm³
# ΔE_f (raw) = -2757 meV/atom
data_K4Ti3MnP6O24
_symmetry_space_group_name_H-M 'P 1 21 1'
_symmetry_Int_Tables_number 4
_cell_length_a 9.918
_cell_length_b 9.901
_cell_length_c 9.921
_cell_angle_alpha 90.00
_cell_angle_beta 90.13
_cell_angle_gamma 90.00
loop_
_symmetry_equiv_pos_as_xyz
'x,y,z'
'-x,y+1/2,-z'
loop_
_atom_site_label
_atom_site_type_symbol
_atom_site_fract_x
_atom_site_fract_y
_atom_site_fract_z
_atom_site_occupancy
K1 K 0.041 0.000 0.196 1
K2 K 0.178 0.728 0.567 1
K3 K 0.309 0.359 0.062 1
K4 K 0.446 0.096 0.712 1
Ti1 Ti 0.159 0.384 0.411 1
Ti2 Ti 0.334 0.709 0.912 1
Ti3 Ti 0.391 0.934 0.358 1
Mn1 Mn 0.107 0.151 0.858 1
P1 P 0.022 0.837 0.873 1
P2 P 0.126 0.066 0.539 1
P3 P 0.208 0.672 0.227 1
P4 P 0.290 0.429 0.722 1
P5 P 0.385 0.015 0.044 1
P6 P 0.472 0.255 0.370 1
O1 O 0.007 0.980 0.927 1
O2 O 0.012 0.498 0.486 1
O3 O 0.037 0.324 0.273 1
O4 O 0.054 0.234 0.043 1
O5 O 0.069 0.732 0.238 1
O6 O 0.110 0.216 0.497 1
O7 O 0.174 0.800 0.860 1
O8 O 0.178 0.052 0.683 1
O9 O 0.204 0.328 0.798 1
O10 O 0.221 0.533 0.300 1
O11 O 0.225 0.992 0.442 1
O12 O 0.252 0.443 0.571 1
O13 O 0.253 0.649 0.079 1
O14 O 0.267 0.570 0.786 1
O15 O 0.292 0.091 0.951 1
O16 O 0.313 0.764 0.300 1
O17 O 0.325 0.299 0.346 1
O18 O 0.332 0.019 0.192 1
O19 O 0.406 0.865 0.004 1
O20 O 0.440 0.386 0.730 1
O21 O 0.451 0.775 0.763 1
O22 O 0.456 0.846 0.525 1
O23 O 0.474 0.581 0.964 1
O24 O 0.477 0.107 0.421 1



Entry 6:
# K4Zr3MnP6O24, PBEsol geometry, DFT meta-GGA SCAN
# Crystal system = monoclinic
# ρ = 3.3 g/cm³
# ΔE_f (raw) = -2887 meV/atom
data_K4Zr3MnP6O24
_symmetry_space_group_name_H-M 'P 1 21 1'
_symmetry_Int_Tables_number 4
_cell_length_a 10.256
_cell_length_b 10.212
_cell_length_c 10.275
_cell_angle_alpha 90.00
_cell_angle_beta 90.00
_cell_angle_gamma 90.00
loop_
_symmetry_equiv_pos_as_xyz
'x,y,z'
'-x,y+1/2,-z'
loop_
_atom_site_label
_atom_site_type_symbol
_atom_site_fract_x
_atom_site_fract_y
_atom_site_fract_z
_atom_site_occupancy
K1 K 0.040 0.000 0.321 1
K2 K 0.173 0.729 0.925 1
K3 K 0.304 0.360 0.446 1
K4 K 0.426 0.109 0.779 1
Zr1 Zr 0.160 0.388 0.088 1
Zr2 Zr 0.333 0.715 0.587 1
Zr3 Zr 0.393 0.941 0.144 1
Mn1 Mn 0.099 0.153 0.643 1
P1 P 0.016 0.840 0.625 1
P2 P 0.126 0.068 0.958 1
P3 P 0.210 0.677 0.272 1
P4 P 0.285 0.429 0.772 1
P5 P 0.377 0.027 0.459 1
P6 P 0.476 0.264 0.129 1
O1 O 0.004 0.981 0.578 1
O2 O 0.006 0.499 0.015 1
O3 O 0.040 0.323 0.233 1
O4 O 0.057 0.243 0.461 1
O5 O 0.075 0.738 0.270 1
O6 O 0.111 0.211 0.005 1
O7 O 0.163 0.801 0.637 1
O8 O 0.171 0.059 0.818 1
O9 O 0.204 0.327 0.702 1
O10 O 0.216 0.545 0.197 1
O11 O 0.226 0.996 0.048 1
O12 O 0.248 0.447 0.917 1
O13 O 0.261 0.650 0.411 1
O14 O 0.265 0.564 0.706 1
O15 O 0.284 0.097 0.549 1
O16 O 0.310 0.767 0.201 1
O17 O 0.327 0.025 0.316 1
O18 O 0.335 0.309 0.157 1
O19 O 0.405 0.883 0.501 1
O20 O 0.432 0.391 0.767 1
O21 O 0.442 0.783 0.747 1
O22 O 0.461 0.850 0.977 1
O23 O 0.476 0.120 0.084 1
O24 O 0.489 0.598 0.537 1



Entry 7:
# K2MnSe2O6, PBEsol geometry, DFT meta-GGA SCAN
# Crystal system = trigonal
# ρ = 3.8 g/cm³
# ΔE_f (raw) = -1573 meV/atom
data_K2MnSe2O6
_symmetry_space_group_name_H-M 'R -3 m'
_symmetry_Int_Tables_number 166
_symmetry_space_group_name_Hall '-R 3 2"'
_cell_length_a 5.6042
_cell_length_b 5.6042
_cell_length_c 18.5632
_cell_angle_alpha 90.00
_cell_angle_beta 90.00
_cell_angle_gamma 120.00
loop_
_atom_site_label
_atom_site_type_symbol
_atom_site_fract_x
_atom_site_fract_y
_atom_site_fract_z
_atom_site_occupancy
K1 K 0.0000 0.0000 0.1952 1
Mn1 Mn 0.0000 0.0000 0.0000 1
Se1 Se 0.0000 0.0000 0.3708 1
O1 O 0.0111 0.5056 0.2573 1



Entry 8:
# KMnSe2O8, PBEsol geometry, DFT meta-GGA SCAN
# Crystal system = triclinic
# ρ = 3.5 g/cm³
# ΔE_f (raw) = -1266 meV/atom
data_KMnSe2O8
_symmetry_space_group_name_H-M 'P -1'
_symmetry_Int_Tables_number 2
_cell_length_a 4.854
_cell_length_b 5.021
_cell_length_c 7.939
_cell_angle_alpha 83.53
_cell_angle_beta 85.79
_cell_angle_gamma 67.88
loop_
_symmetry_equiv_pos_as_xyz
'x,y,z'
'-x,-y,-z'
loop_
_atom_site_label
_atom_site_type_symbol
_atom_site_fract_x
_atom_site_fract_y
_atom_site_fract_z
_atom_site_occupancy
K1 K 0.000 0.000 0.000 1
Mn1 Mn 0.000 0.000 0.500 1
Se1 Se 0.382 0.369 0.297 1
O1 O 0.236 0.231 0.468 1
O2 O 0.241 0.778 0.685 1
O3 O 0.274 0.722 0.313 1
O4 O 0.312 0.303 0.112 1



Entry 9:
# K3Mn5Si12O30, PBEsol geometry, DFT meta-GGA SCAN
# Crystal system = hexagonal
# ρ = 3.0 g/cm³
# ΔE_f (raw) = -2755 meV/atom
data_K3Mn5Si12O30
_symmetry_space_group_name_H-M 'P 6/m c c'
_symmetry_Int_Tables_number 192
_symmetry_space_group_name_Hall '-P 6 2c'
_cell_length_a 10.4797
_cell_length_b 10.4797
_cell_length_c 14.1981
_cell_angle_alpha 90.00
_cell_angle_beta 90.00
_cell_angle_gamma 120.00
loop_
_atom_site_label
_atom_site_type_symbol
_atom_site_fract_x
_atom_site_fract_y
_atom_site_fract_z
_atom_site_occupancy
K1 K 0.0000 0.0000 0.2500 1
K2 K 0.3333 0.6667 0.0000 1
Mn1 Mn 0.0000 0.5000 0.2500 1
Mn2 Mn 0.3333 0.6667 0.2500 1
Si1 Si 0.1093 0.3409 0.1138 1
O1 O 0.0577 0.2705 0.3574 1
O2 O 0.1215 0.3679 0.0000 1
O3 O 0.1566 0.4946 0.1654 1